Computed, not measured: a relaxed structure of LaBeTeN2 at the PBE level of DFT.

Cell: 4.1078 4.1078 7.0420 Å, 90.00 90.00 90.00°
Sites, in units of the cell vectors:
Te 0.0000 0.0000 0.5000
Be 0.5000 0.5000 0.5000
N 0.0000 0.5000 0.0000
La 0.0000 0.0000 0.0000
N 0.5000 0.0000 0.0000

Formation energy without anion corrections in eV/atom: 0.9913